# 1
Ba2HRuO6: optimized geometry, PBE-GGA.

```
Ba2HRuO6
1.0
6.0887 -0.3072 -0.1348
-0.3072 6.0888 -0.1351
-2.9828 -2.9827 4.1873
Ba H Ru O
2 1 1 6
direct
0.7622 0.2370 0.5003 Ba
0.2365 0.7627 0.5003 Ba
0.6076 0.6081 0.2917 H
0.0016 0.0021 0.0037 Ru
0.7000 0.7005 0.8212 O
0.7835 0.7840 0.4624 O
0.2334 0.2339 0.0135 O
0.7797 0.2055 0.9814 O
0.1896 0.1901 0.4421 O
0.2050 0.7802 0.9814 O
```

Results
Density of states at the Fermi level (states/eV per cell): 4.26
DFT total energy (Ha/atom): -0.231
SG: Cm, No. 8
Total magnetic moment (μB per formula unit): 1.0



# 2
BaHRuO6: optimized geometry, PBE-GGA.

```
BaHRuO6
1.0
5.5548 -0.3154 -0.0075
2.5224 4.6089 -0.0308
0.0598 -0.0122 5.2482
Ba H Ru O
1 1 1 6
direct
0.9778 0.0243 0.1368 Ba
0.8096 0.5970 0.4363 H
0.3442 0.3297 0.5432 Ru
0.9607 0.5319 0.3171 O
0.2137 0.0840 0.6161 O
0.6567 0.1769 0.6907 O
0.1593 0.6110 0.7472 O
0.4348 0.5254 0.2952 O
0.4429 0.1198 0.2173 O
```

Results
DFT total energy (Ha/atom): -0.220
SG: P1, No. 1
Total magnetic moment (μB per formula unit): 1.0



# 3
BaH2S5O6: optimized geometry, PBE-GGA.

```
BaH2S5O6
1.0
6.0891 0.0639 0.0535
0.0939 10.1259 0.1246
-1.0593 -3.4373 10.9080
Ba H S O
2 4 10 12
direct
0.7346 0.2197 0.3961 Ba
0.2654 0.7803 0.6039 Ba
0.2703 0.2731 0.5894 H
0.7297 0.7269 0.4106 H
0.6126 0.1621 0.0911 H
0.3874 0.8379 0.9089 H
0.2360 0.9407 0.3146 S
0.7640 0.0593 0.6854 S
0.2100 0.4407 0.3152 S
0.7900 0.5593 0.6848 S
0.1763 0.4646 0.1341 S
0.8237 0.5354 0.8659 S
0.3684 0.6260 0.1307 S
0.6316 0.3740 0.8693 S
0.1676 0.7917 0.1378 S
0.8324 0.2083 0.8622 S
0.2883 0.8659 0.4050 O
0.7117 0.1341 0.5950 O
0.0445 0.3314 0.2975 O
0.9555 0.6686 0.7025 O
0.1556 0.5713 0.4028 O
0.8444 0.4287 0.5972 O
0.0253 0.0146 0.3272 O
0.9747 0.9854 0.6728 O
0.4368 0.3963 0.3377 O
0.5632 0.6037 0.6623 O
0.5802 0.9739 0.6975 O
0.4198 0.0261 0.3025 O
```

Results
Density of states at the Fermi level (states/eV per cell): 0.00
DFT total energy (Ha/atom): -0.185
SG: P-1, No. 2
Total magnetic moment (μB per formula unit): 1.9